First-principles (PBE-GGA) data for an optimized crystal structure of TmMg5Pd3, as listed in Alexandria.

a = 6.880 Å, b = 6.880 Å, c = 9.093 Å
α = 103.21°, β = 103.21°, γ = 89.96°
Fractional positions:
Tm  0.249  0.249  0.250
Tm  0.751  0.751  0.750
Mg  0.230  0.701  0.651
Mg  0.241  0.241  0.907
Mg  0.242  0.242  0.590
Mg  0.268  0.732  0.000
Mg  0.299  0.770  0.349
Mg  0.701  0.230  0.651
Mg  0.732  0.268  0.000
Mg  0.758  0.758  0.410
Mg  0.759  0.759  0.093
Mg  0.770  0.299  0.349
Pd  0.000  0.000  0.000
Pd  0.003  0.003  0.339
Pd  0.496  0.496  0.834
Pd  0.500  0.500  0.500
Pd  0.504  0.504  0.166
Pd  0.997  0.997  0.661

Summary:
V = 22.6 Å³/atom
Symmetry = C2/m, No. 12
Formation enthalpy at 0 K = -0.393 eV per atom
Raw total energy = -3.506 eV/atom
Magnetic moment = 0.000 μB/atom